DFT (GGA-PBE) results for a geometry-optimized Cs2GaTeSe4 structure.

Values from the calculation:
* SG: Fddd (70)
* raw total energy: -26.9 eV/f.u.
* total magnetization: 0.000 μB/cell
* formation energy without anion corrections: -0.6333 eV per atom

Unit cell a=14.357 b=12.455 c=8.708 alpha=83.43 beta=59.52 gamma=37.05
Element x y z (fractional)
Cs 0.047 0.047 0.703
Cs 0.297 0.297 0.953
Cs 0.703 0.703 0.047
Cs 0.953 0.953 0.297
Ga 0.375 0.375 0.375
Ga 0.625 0.625 0.625
Te 0.125 0.125 0.125
Te 0.875 0.875 0.875
Se 0.016 0.650 0.525
Se 0.308 0.525 0.650
Se 0.350 0.984 0.692
Se 0.475 0.692 0.984
Se 0.525 0.308 0.016
Se 0.650 0.016 0.308
Se 0.692 0.475 0.350
Se 0.984 0.350 0.475